BeCoMo: relaxed, GGA-PBE.

Uncorrected energy = -7.378 eV/atom
Relative energy among the computed polymorphs = 0 meV/atom
DFT formation energy = -0.16 eV/atom

a b c (Å): 6.0210 3.2330 10.2806
angles (deg): 90.00 90.57 90.00
With the nearest neighbours (Å) after each atom.
Element x y z (fractional)
Be1 0.2238 0.2500 0.2497  3 Co 2.26-2.27, 6 Mo 2.44-2.46
Be2 0.2652 0.7500 0.9142  4 Co 2.17-2.30, 4 Mo 2.41-2.43
Be3 0.2659 0.2500 0.5806  5 Co 2.18-2.27, 2 Mo 2.39
Be4 0.7341 0.7500 0.4194  5 Co 2.18-2.27, 2 Mo 2.39
Be5 0.7348 0.2500 0.0858  4 Co 2.17-2.30, 4 Mo 2.41-2.43
Be6 0.7762 0.7500 0.7503  3 Co 2.26-2.27, 6 Mo 2.44-2.46
Co1 0.1429 0.7500 0.7043  4 Be 2.19-2.27
Co2 0.3586 0.2500 0.0447  4 Be 2.17-2.30
Co3 0.4910 0.2500 0.4052  4 Be 2.18-2.27
Co4 0.5090 0.7500 0.5948  4 Be 2.18-2.27
Co5 0.6414 0.7500 0.9553  4 Be 2.17-2.30
Co6 0.8571 0.2500 0.2957  4 Be 2.19-2.27
Mo1 0.0298 0.7500 0.1124  5 Be 2.41-2.49, 4 Co 2.65-2.70
Mo2 0.1471 0.7500 0.4227  5 Be 2.39-2.49, 2 Co 2.63
Mo3 0.4754 0.2500 0.7891  5 Be 2.43-2.48, 6 Co 2.55-2.71
Mo4 0.5246 0.7500 0.2109  5 Be 2.43-2.48, 6 Co 2.55-2.71
Mo5 0.8529 0.2500 0.5773  5 Be 2.39-2.49, 2 Co 2.63
Mo6 0.9702 0.2500 0.8876  5 Be 2.41-2.49, 4 Co 2.65-2.70

BeCoMo: relaxed, GGA-PBE.

Uncorrected energy = -7.352 eV/atom
Relative energy among the computed polymorphs = 25 meV/atom
DFT formation energy = -0.13 eV/atom

a b c (Å): 2.6872 2.6872 9.3164
angles (deg): 90.00 90.00 90.00
With the nearest neighbours (Å) after each atom.
Element x y z (fractional)
Be1 0.0000 0.0000 0.0000  4 Co 2.23
Be2 0.5000 0.5000 0.5000  4 Co 2.23
Co1 0.0000 0.0000 0.3754  4 Be 2.23
Co2 0.5000 0.5000 0.8754  4 Be 2.23
Mo1 0.0000 0.0000 0.6864  4 Be 2.57, 4 Co 2.59, 4 Mo 2.69
Mo2 0.5000 0.5000 0.1864  4 Be 2.57, 4 Co 2.59, 4 Mo 2.69

BeCoMo2: relaxed, GGA-PBE.

Uncorrected energy = -8.109 eV/atom
DFT formation energy = 0.02 eV/atom

a b c (Å): 2.6546 4.1085 4.7104
angles (deg): 90.00 97.30 90.00
With the nearest neighbours (Å) after each atom.
Element x y z (fractional)
Be1 0.0000 0.0000 0.0000  2 Co 2.41, 7 Mo 2.51-2.67, 2 Be 2.65
Co1 0.0085 0.5000 0.2690  2 Be 2.41, 5 Mo 2.52-2.62, 2 Co 2.65
Mo1 0.4143 0.5000 0.8065  3 Co 2.52-2.62, 4 Be 2.55-2.67, 4 Mo 2.65
Mo2 0.6197 0.0000 0.4837  3 Be 2.51-2.64, 4 Co 2.56-2.73, 4 Mo 2.65

BeCoMo2: relaxed, GGA-PBE.

Uncorrected energy = -8.018 eV/atom
DFT formation energy = 0.11 eV/atom

a b c (Å): 5.2871 7.3439 2.6358
angles (deg): 90.00 90.15 90.00
With the nearest neighbours (Å) after each atom.
Element x y z (fractional)
Be1 0.0000 0.0000 0.0000  8 Mo 2.62, 2 Be 2.64, 2 Co 2.64
Be2 0.5000 0.5000 0.0000  8 Mo 2.62, 2 Be 2.64, 2 Co 2.64
Co1 0.0000 0.5000 0.0000  8 Mo 2.62, 2 Co 2.64, 2 Be 2.64
Co2 0.5000 0.0000 0.0000  8 Mo 2.62, 2 Co 2.64, 2 Be 2.64
Mo1 0.2500 0.2500 0.5000  4 Co 2.62, 4 Be 2.62, 4 Mo 2.64
Mo2 0.2500 0.7500 0.5000  4 Co 2.62, 4 Be 2.62, 4 Mo 2.64
Mo3 0.7500 0.2500 0.5000  4 Co 2.62, 4 Be 2.62, 4 Mo 2.64
Mo4 0.7500 0.7500 0.5000  4 Co 2.62, 4 Be 2.62, 4 Mo 2.64

Be2CoMo: relaxed, GGA-PBE.

Uncorrected energy = -6.226 eV/atom
Relative energy among the computed polymorphs = 271 meV/atom
DFT formation energy = 0.12 eV/atom

a b c (Å): 4.9140 7.3553 2.5235
angles (deg): 90.00 104.06 90.00
With the nearest neighbours (Å) after each atom.
Element x y z (fractional)
Be1 0.2500 0.2500 0.0000  2 Mo 2.39, 2 Co 2.39, 4 Be 2.46-2.52
Be2 0.2500 0.7500 0.0000  2 Co 2.39, 2 Mo 2.39, 4 Be 2.46-2.52
Be3 0.7500 0.2500 0.0000  2 Mo 2.39, 2 Co 2.39, 4 Be 2.46-2.52
Be4 0.7500 0.7500 0.0000  2 Mo 2.39, 2 Co 2.39, 4 Be 2.46-2.52
Co1 0.0000 0.0000 0.5000  4 Be 2.39, 2 Mo 2.46, 2 Co 2.52
Co2 0.5000 0.5000 0.5000  4 Be 2.39, 2 Mo 2.46, 2 Co 2.52
Mo1 0.0000 0.5000 0.5000  4 Be 2.39, 2 Co 2.46, 2 Mo 2.52
Mo2 0.5000 0.0000 0.5000  4 Be 2.39, 2 Co 2.46, 2 Mo 2.52

Be3Co4Mo: relaxed, GGA-PBE.

Uncorrected energy = -6.532 eV/atom
DFT formation energy = -0.23 eV/atom

a b c (Å): 3.7750 3.7750 5.6080
angles (deg): 90.00 90.00 90.00
With the nearest neighbours (Å) after each atom.
Element x y z (fractional)
Be1 0.0000 0.0000 0.0000  8 Co 2.28
Be2 0.0000 0.0000 0.5000  8 Co 2.42, 4 Mo 2.67
Be3 0.5000 0.5000 0.0000  8 Co 2.28
Co1 0.0000 0.5000 0.2296  6 Be 2.28-2.42, 2 Mo 2.42
Co2 0.0000 0.5000 0.7704  6 Be 2.28-2.42, 2 Mo 2.42
Co3 0.5000 0.0000 0.2296  6 Be 2.28-2.42, 2 Mo 2.42
Co4 0.5000 0.0000 0.7704  6 Be 2.28-2.42, 2 Mo 2.42
Mo1 0.5000 0.5000 0.5000  8 Co 2.42, 4 Be 2.67